A geometry-optimized SmTiAl4 structure, computed with PBE-GGA.

Calculated values
N(E_F)	3.05	states/eV per cell
energy relative to the elements	-34.3	kJ/mol of atoms
crystal system	cubic
SG	F-43m

Cell and atoms, written as extended XYZ:
```
6
Lattice="0.000 3.828 3.828 3.828 0.000 3.828 3.828 3.828 0.000" Properties=species:S:1:pos:R:3 pbc="T T T"
Sm 0.000 0.000 0.000
Ti 5.742 5.742 5.742
Al 2.875 2.875 2.875
Al 4.781 4.781 2.875
Al 4.781 2.875 4.781
Al 2.875 4.781 4.781
```